No. 1
Density functional theory data (GGA-PBE) for a geometry-optimized LiInReAg2 structure.

D(E_F): 2.69 states/eV per cell
magnetization: 0.58 μB/f.u.
DFT formation energy: 0.885 eV per atom
calculated volume: 17.27 Å³ per atom

POSCAR file:
```
LiInReAg2
1.0
4.326 0.000 0.000
0.000 4.326 0.000
0.000 0.000 4.614
Li In Re Ag
1 1 1 2
direct
0.000 0.000 0.000
0.500 0.500 0.500
0.000 0.000 0.500
0.000 0.500 0.000
0.500 0.000 0.000
```



No. 2
Density functional theory data (GGA-PBE) for a geometry-optimized Li3In3AgRh2 structure.

D(E_F): 2.20 states/eV per cell
magnetization: 0.00 μB/f.u.
DFT formation energy: -0.341 eV per atom
calculated volume: 17.02 Å³ per atom

POSCAR file:
```
Li3In3AgRh2
1.0
7.598 0.000 0.000
-3.799 6.580 0.000
0.000 0.000 3.063
Li In Ag Rh
3 3 1 2
direct
0.000 0.713 0.000
0.287 0.287 0.000
0.713 0.000 0.000
0.000 0.391 0.500
0.391 0.000 0.500
0.609 0.609 0.500
0.000 0.000 0.500
0.333 0.667 0.000
0.667 0.333 0.000
```



No. 3
Density functional theory data (GGA-PBE) for a geometry-optimized LiInAgRu structure.

D(E_F): 2.36 states/eV per cell
magnetization: 0.00 μB/f.u.
DFT formation energy: 0.031 eV per atom
calculated volume: 16.49 Å³ per atom

POSCAR file:
```
LiInAgRu
1.0
0.000 3.207 3.207
3.207 0.000 3.207
3.207 3.207 0.000
Li In Ag Ru
1 1 1 1
direct
0.000 0.000 0.000
0.250 0.250 0.250
0.750 0.750 0.750
0.500 0.500 0.500
```



No. 4
Density functional theory data (GGA-PBE) for a geometry-optimized LiIn2Ag7Sb2 structure.

formation energy (no corrections): 0.008 eV per atom
D(E_F): 3.11 states/eV per cell
magnetization: 0.00 μB/f.u.
calculated volume: 21.16 Å³ per atom

POSCAR file:
```
LiIn2Ag7Sb2
1.0
3.444 -3.200 0.000
3.444 3.200 0.000
-0.047 0.000 11.520
Li In Ag Sb
1 2 7 2
direct
0.000 0.000 0.000
0.500 0.500 0.296
0.500 0.500 0.704
0.000 0.499 0.865
0.000 0.501 0.135
0.271 0.271 0.500
0.499 0.000 0.865
0.500 0.500 0.000
0.501 0.000 0.135
0.729 0.729 0.500
0.000 0.000 0.302
0.000 0.000 0.698
```



No. 5
Density functional theory data (GGA-PBE) for a geometry-optimized LiInAgSb structure.

formation energy (no corrections): -0.155 eV per atom
D(E_F): 0.57 states/eV per cell
magnetization: 0.00 μB/f.u.
calculated volume: 22.00 Å³ per atom

POSCAR file:
```
LiInAgSb
1.0
0.000 3.531 3.531
3.531 0.000 3.531
3.531 3.531 0.000
Li In Ag Sb
1 1 1 1
direct
0.000 0.000 0.000
0.250 0.250 0.250
0.500 0.500 0.500
0.750 0.750 0.750
```



No. 6
Density functional theory data (GGA-PBE) for a geometry-optimized LiIn2AgSe4 structure.

formation energy (no corrections): -0.642 eV per atom
magnetization: 0.00 μB/f.u.
calculated volume: 27.79 Å³ per atom

POSCAR file:
```
LiIn2AgSe4
1.0
0.000 4.221 6.240
4.221 0.000 6.240
4.221 4.221 0.000
Li In Ag Se
1 2 1 4
direct
0.000 0.000 0.000
0.250 0.250 0.250
0.750 0.750 0.750
0.499 0.499 0.501
0.118 0.635 0.365
0.365 0.881 0.635
0.635 0.118 0.882
0.881 0.365 0.119
```



No. 7
Density functional theory data (GGA-PBE) for a geometry-optimized LiInSiAg2 structure.

formation energy (no corrections): 0.416 eV per atom
D(E_F): 1.92 states/eV per cell
magnetization: 0.00 μB/f.u.
calculated volume: 19.58 Å³ per atom

POSCAR file:
```
LiInSiAg2
1.0
4.676 0.000 0.000
0.000 4.676 0.000
0.000 0.000 4.476
Li In Si Ag
1 1 1 2
direct
0.000 0.000 0.000
0.500 0.500 0.500
0.000 0.000 0.500
0.000 0.500 0.000
0.500 0.000 0.000
```



No. 8
Density functional theory data (GGA-PBE) for a geometry-optimized LiSmInAg structure.

D(E_F): 0.88 states/eV per cell
magnetization: 0.00 μB/f.u.
DFT formation energy: -0.390 eV per atom
calculated volume: 21.37 Å³ per atom

POSCAR file:
```
LiSmInAg
1.0
0.000 3.496 3.496
3.496 0.000 3.496
3.496 3.496 0.000
Li Sm In Ag
1 1 1 1
direct
0.000 0.000 0.000
0.250 0.250 0.250
0.750 0.750 0.750
0.500 0.500 0.500
```



No. 9
Density functional theory data (GGA-PBE) for a geometry-optimized Li2SmIn2Ag2 structure.

D(E_F): 3.02 states/eV per cell
magnetization: 0.00 μB/f.u.
DFT formation energy: -0.255 eV per atom
calculated volume: 21.25 Å³ per atom

POSCAR file:
```
Li2SmIn2Ag2
1.0
2.416 1.395 7.359
-2.416 1.395 7.359
0.000 -2.789 7.359
Li Sm In Ag
2 1 2 2
direct
0.142 0.142 0.142
0.858 0.858 0.858
0.000 0.000 0.000
0.267 0.267 0.267
0.733 0.733 0.733
0.429 0.429 0.429
0.571 0.571 0.571
```



No. 10
Density functional theory data (GGA-PBE) for a geometry-optimized Li4SmIn2Ag structure.

D(E_F): 4.65 states/eV per cell
magnetization: 0.00 μB/f.u.
DFT formation energy: -0.222 eV per atom
calculated volume: 20.04 Å³ per atom

POSCAR file:
```
Li4SmIn2Ag
1.0
2.429 1.402 7.848
-2.429 1.402 7.848
0.000 -2.804 7.848
Li Sm In Ag
4 1 2 1
direct
0.109 0.109 0.109
0.364 0.364 0.364
0.636 0.636 0.636
0.891 0.891 0.891
0.500 0.500 0.500
0.242 0.242 0.242
0.758 0.758 0.758
0.000 0.000 0.000
```



No. 11
Density functional theory data (GGA-PBE) for a geometry-optimized LiSmIn2Ag4 structure.

D(E_F): 3.84 states/eV per cell
magnetization: 0.00 μB/f.u.
DFT formation energy: -0.251 eV per atom
calculated volume: 20.53 Å³ per atom

POSCAR file:
```
LiSmIn2Ag4
1.0
2.425 1.400 8.064
-2.425 1.400 8.064
0.000 -2.800 8.064
Li Sm In Ag
1 1 2 4
direct
0.000 0.000 0.000
0.500 0.500 0.500
0.248 0.248 0.248
0.752 0.752 0.752
0.110 0.110 0.110
0.369 0.369 0.369
0.631 0.631 0.631
0.890 0.890 0.890
```



No. 12
Density functional theory data (GGA-PBE) for a geometry-optimized LiInAg2Sn structure.

D(E_F): 1.56 states/eV per cell
magnetization: 0.00 μB/f.u.
DFT formation energy: 0.394 eV per atom
calculated volume: 26.63 Å³ per atom

POSCAR file:
```
LiInAg2Sn
1.0
5.165 0.000 0.000
0.000 5.165 0.000
0.000 0.000 4.992
Li In Ag Sn
1 1 2 1
direct
0.000 0.000 0.000
0.000 0.000 0.500
0.000 0.500 0.500
0.500 0.000 0.500
0.500 0.500 0.000
```



No. 13
Density functional theory data (GGA-PBE) for a geometry-optimized Li5InAg2Sn2 structure.

D(E_F): 8.38 states/eV per cell
magnetization: 0.00 μB/f.u.
DFT formation energy: -0.185 eV per atom
calculated volume: 19.24 Å³ per atom

POSCAR file:
```
Li5InAg2Sn2
1.0
10.129 0.000 0.000
0.000 10.129 0.000
0.000 0.000 3.751
Li In Ag Sn
10 2 4 4
direct
0.000 0.500 0.000
0.073 0.200 0.000
0.200 0.927 0.000
0.300 0.427 0.000
0.427 0.700 0.000
0.500 0.000 0.000
0.573 0.300 0.000
0.700 0.573 0.000
0.800 0.073 0.000
0.927 0.800 0.000
0.000 0.000 0.500
0.500 0.500 0.500
0.128 0.372 0.500
0.372 0.872 0.500
0.628 0.128 0.500
0.872 0.628 0.500
0.168 0.668 0.500
0.332 0.168 0.500
0.668 0.832 0.500
0.832 0.332 0.500
```



No. 14
Density functional theory data (GGA-PBE) for a geometry-optimized Li2In2Ag2Sn structure.

D(E_F): 2.54 states/eV per cell
magnetization: 0.00 μB/f.u.
DFT formation energy: -0.138 eV per atom
calculated volume: 20.42 Å³ per atom

POSCAR file:
```
Li2In2Ag2Sn
1.0
2.350 1.357 7.474
-2.350 1.357 7.474
0.000 -2.713 7.474
Li In Ag Sn
2 2 2 1
direct
0.223 0.223 0.223
0.777 0.777 0.777
0.363 0.363 0.363
0.637 0.637 0.637
0.096 0.096 0.096
0.904 0.904 0.904
0.500 0.500 0.500
```



No. 15
Density functional theory data (GGA-PBE) for a geometry-optimized Li2In2Ag5Sn structure.

D(E_F): 3.09 states/eV per cell
magnetization: 0.00 μB/f.u.
DFT formation energy: -0.085 eV per atom
calculated volume: 19.32 Å³ per atom

POSCAR file:
```
Li2In2Ag5Sn
1.0
9.498 0.000 0.000
0.000 9.498 0.000
0.000 0.000 4.284
Li In Ag Sn
4 4 10 2
direct
0.121 0.379 0.000
0.379 0.879 0.000
0.621 0.121 0.000
0.879 0.621 0.000
0.170 0.670 0.000
0.330 0.170 0.000
0.670 0.830 0.000
0.830 0.330 0.000
0.000 0.500 0.500
0.089 0.201 0.500
0.201 0.911 0.500
0.299 0.411 0.500
0.411 0.701 0.500
0.500 0.000 0.500
0.589 0.299 0.500
0.701 0.589 0.500
0.799 0.089 0.500
0.911 0.799 0.500
0.000 0.000 0.000
0.500 0.500 0.000
```



No. 16
Density functional theory data (GGA-PBE) for a geometry-optimized LiIn2Ag7Sn2 structure.

D(E_F): 4.19 states/eV per cell
magnetization: 0.00 μB/f.u.
DFT formation energy: 0.025 eV per atom
calculated volume: 20.99 Å³ per atom

POSCAR file:
```
LiIn2Ag7Sn2
1.0
2.821 -2.821 0.000
2.821 2.821 0.000
-2.816 0.000 15.830
Li In Ag Sn
1 2 7 2
direct
0.000 0.000 0.000
0.367 0.367 0.730
0.633 0.633 0.270
0.066 0.566 0.133
0.272 0.272 0.544
0.434 0.934 0.867
0.500 0.500 0.000
0.566 0.066 0.133
0.728 0.728 0.456
0.934 0.434 0.867
0.181 0.181 0.366
0.819 0.819 0.634
```



No. 17
Density functional theory data (GGA-PBE) for a geometry-optimized Li5In2Ag2Sn structure.

D(E_F): 9.32 states/eV per cell
magnetization: 0.00 μB/f.u.
DFT formation energy: -0.184 eV per atom
calculated volume: 19.28 Å³ per atom

POSCAR file:
```
Li5In2Ag2Sn
1.0
10.609 0.000 0.000
0.000 10.609 0.000
0.000 0.000 3.426
Li In Ag Sn
10 4 4 2
direct
0.000 0.500 0.000
0.085 0.189 0.000
0.189 0.915 0.000
0.311 0.415 0.000
0.415 0.689 0.000
0.500 0.000 0.000
0.585 0.311 0.000
0.689 0.585 0.000
0.811 0.085 0.000
0.915 0.811 0.000
0.165 0.665 0.500
0.335 0.165 0.500
0.665 0.835 0.500
0.835 0.335 0.500
0.131 0.369 0.500
0.369 0.869 0.500
0.631 0.131 0.500
0.869 0.631 0.500
0.000 0.000 0.500
0.500 0.500 0.500
```



No. 18
Density functional theory data (GGA-PBE) for a geometry-optimized SrLiInAg3 structure.

D(E_F): 5.64 states/eV per cell
magnetization: 0.00 μB/f.u.
DFT formation energy: -0.169 eV per atom
calculated volume: 22.90 Å³ per atom

POSCAR file:
```
SrLiInAg3
1.0
3.142 -6.715 0.000
3.142 6.715 0.000
0.000 0.000 6.513
Sr Li In Ag
2 2 2 6
direct
0.200 0.800 0.750
0.800 0.200 0.250
0.425 0.575 0.750
0.575 0.425 0.250
0.145 0.855 0.250
0.855 0.145 0.750
0.228 0.228 0.000
0.228 0.228 0.500
0.363 0.637 0.250
0.637 0.363 0.750
0.772 0.772 0.000
0.772 0.772 0.500
```



No. 19
Density functional theory data (GGA-PBE) for a geometry-optimized SrLi4InAg2 structure.

D(E_F): 1.94 states/eV per cell
magnetization: 0.00 μB/f.u.
DFT formation energy: -0.169 eV per atom
calculated volume: 20.31 Å³ per atom

POSCAR file:
```
SrLi4InAg2
1.0
2.407 1.389 8.100
-2.407 1.389 8.100
0.000 -2.779 8.100
Sr Li In Ag
1 4 1 2
direct
0.000 0.000 0.000
0.136 0.136 0.136
0.390 0.390 0.390
0.610 0.610 0.610
0.864 0.864 0.864
0.500 0.500 0.500
0.248 0.248 0.248
0.752 0.752 0.752
```



No. 20
Density functional theory data (GGA-PBE) for a geometry-optimized Sr2LiIn3Ag12 structure.

D(E_F): 6.18 states/eV per cell
magnetization: 0.00 μB/f.u.
DFT formation energy: 0.045 eV per atom
calculated volume: 24.10 Å³ per atom

POSCAR file:
```
Sr2LiIn3Ag12
1.0
3.444 1.989 10.557
-3.444 1.989 10.557
0.000 -3.977 10.557
Sr Li In Ag
2 1 3 12
direct
0.150 0.150 0.150
0.850 0.850 0.850
0.500 0.500 0.500
0.000 0.500 0.500
0.500 0.000 0.500
0.500 0.500 0.000
0.079 0.079 0.674
0.079 0.674 0.079
0.156 0.577 0.577
0.326 0.921 0.921
0.423 0.423 0.844
0.423 0.844 0.423
0.577 0.156 0.577
0.577 0.577 0.156
0.674 0.079 0.079
0.844 0.423 0.423
0.921 0.326 0.921
0.921 0.921 0.326
```